DFT (GGA-PBE) results for an optimized crystal structure of La3MgTc.

- Energy relative to the lowest polymorph listed for this composition: 31 meV/atom
- Density of states at the Fermi level: 1.126 states/eV per atom
- Total energy: -5.356 eV per atom
- Magnetic moment: 0.00 Bohr magnetons per cell

The structure in CIF format:
```
data_La3MgTc
_chemical_formula_sum 'La3 Mg1 Tc1'
_symmetry_space_group_name_H-M 'P m -3 m'
_symmetry_Int_Tables_number 221
_symmetry_space_group_name_Hall '-P 4 2 3'
_cell_length_a 5.519
_cell_length_b 5.519
_cell_length_c 5.519
_cell_angle_alpha 90.00
_cell_angle_beta 90.00
_cell_angle_gamma 90.00
loop_
_atom_site_label
_atom_site_type_symbol
_atom_site_fract_x
_atom_site_fract_y
_atom_site_fract_z
La1 La 0.000 0.000 0.500
Mg1 Mg 0.500 0.500 0.500
Tc1 Tc 0.000 0.000 0.000
```

=====

DFT (GGA-PBE) results for an optimized crystal structure of Pr4RhSeCl2.

- Density of states at the Fermi level: 0.646 states/eV per atom
- Total energy: -5.565 eV per atom
- Magnetic moment: 0.00 Bohr magnetons per cell
- ΔE_f (raw): -131.1 kJ/mol of atoms

The structure in CIF format:
```
data_Pr4RhSeCl2
_chemical_formula_sum 'Pr4 Rh1 Se1 Cl2'
_symmetry_space_group_name_H-M 'P 1 2/m 1'
_symmetry_Int_Tables_number 10
_cell_length_a 7.373
_cell_length_b 4.086
_cell_length_c 7.616
_cell_angle_alpha 90.00
_cell_angle_beta 108.16
_cell_angle_gamma 90.00
loop_
_symmetry_equiv_pos_as_xyz
'x,y,z'
'-x,-y,-z'
'-x,y,-z'
'x,-y,z'
loop_
_atom_site_label
_atom_site_type_symbol
_atom_site_fract_x
_atom_site_fract_y
_atom_site_fract_z
Pr1 Pr 0.220 0.000 0.221
Pr2 Pr 0.234 0.500 0.752
Rh1 Rh 0.000 0.500 0.000
Se1 Se 0.000 0.000 0.500
Cl1 Cl 0.500 0.000 0.000
Cl2 Cl 0.500 0.500 0.500
```

=====

DFT (GGA-PBE) results for an optimized crystal structure of Tb2Ho2ErTm2.

- Density of states at the Fermi level: 2.432 states/eV per atom
- Total energy: -4.419 eV per atom
- Magnetic moment: 0.02 Bohr magnetons per cell

The structure in CIF format:
```
data_Tb2Ho2ErTm2
_chemical_formula_sum 'Tb6 Ho6 Er3 Tm6'
_symmetry_space_group_name_H-M 'R -3 m'
_symmetry_Int_Tables_number 166
_symmetry_space_group_name_Hall '-R 3 2"'
_cell_length_a 5.5989
_cell_length_b 5.5989
_cell_length_c 24.1524
_cell_angle_alpha 90.00
_cell_angle_beta 90.00
_cell_angle_gamma 120.00
loop_
_atom_site_label
_atom_site_type_symbol
_atom_site_fract_x
_atom_site_fract_y
_atom_site_fract_z
Tb1 Tb 0.0000 0.0000 0.1408
Ho1 Ho 0.0000 0.0000 0.2857
Er1 Er 0.0000 0.0000 0.0000
Tm1 Tm 0.0000 0.0000 0.4285
```

=====

DFT (GGA-PBE) results for an optimized crystal structure of Ho6TlAg.

- Energy relative to the lowest polymorph listed for this composition: 276 meV/atom
- Density of states at the Fermi level: 1.427 states/eV per atom
- Total energy: -3.958 eV per atom
- Magnetic moment: 0.59 Bohr magnetons per cell

The structure in CIF format:
```
data_Ho6TlAg
_chemical_formula_sum 'Ho12 Tl2 Ag2'
_symmetry_space_group_name_H-M 'C 1 2/m 1'
_symmetry_Int_Tables_number 12
_cell_length_a 6.845
_cell_length_b 11.917
_cell_length_c 6.860
_cell_angle_alpha 90.00
_cell_angle_beta 117.65
_cell_angle_gamma 90.00
loop_
_symmetry_equiv_pos_as_xyz
'x,y,z'
'-x,-y,-z'
'-x,y,-z'
'x,-y,z'
'x+1/2,y+1/2,z'
'-x+1/2,-y+1/2,-z'
'-x+1/2,y+1/2,-z'
'x+1/2,-y+1/2,z'
loop_
_atom_site_label
_atom_site_type_symbol
_atom_site_fract_x
_atom_site_fract_y
_atom_site_fract_z
Ho1 Ho 0.234 0.207 0.247
Ho2 Ho 0.236 0.000 0.762
Tl1 Tl 0.000 0.500 0.500
Ag1 Ag 0.000 0.000 0.000
```

=====

- What is the formula in the fourth record?
  Ho6TlAg

=====

- The highest density of states at the Fermi level belongs to which entry?
  Tb2Ho2ErTm2